# 1
A plane-wave DFT calculation with PBE was carried out for LiTh2Au4 after structural relaxation.

a = 5.1262 Å, b = 5.1262 Å, c = 22.8047 Å
α = 90.00°, β = 90.00°, γ = 120.00°
Closest atoms and distances in Å follow each position.
Space group R-3m (No. 166, hexagonal axes)
Inequivalent atoms, fractional coordinates:
Li  0.0000  0.0000  0.0000 [3 per cell]  2 Au 2.58
Th  0.0000  0.0000  0.2461 [6 per cell]  8 Au 3.02-3.09
Au  0.0000  0.0000  0.1131 [6 per cell]  1 Li 2.58
Au  0.0000  0.0000  0.3816 [6 per cell]  4 Th 3.09, 3 Li 3.16, 3 Au 3.31

## Properties
For the calculated formation energy, the calculation gives -0.513 eV/atom. As for the total energy: -4.7790 eV per atom. As for the polymorph energy (0 for the lowest one): 65 meV per atom. As for the total magnetization: 0.000 μB per atom.

=====

# 2
A plane-wave DFT calculation with PBE was carried out for Cs2CaMgI6 after structural relaxation.

a = 12.1236 Å, b = 12.1236 Å, c = 12.1236 Å
α = 90.00°, β = 90.00°, γ = 90.00°
Closest atoms and distances in Å follow each position.
Space group Fm-3m (No. 225)
Inequivalent atoms, fractional coordinates:
Cs  0.2500  0.2500  0.2500 [8 per cell]  12 I 4.29
Ca  0.0000  0.0000  0.0000 [4 per cell]  6 I 3.12
Mg  0.0000  0.0000  0.5000 [4 per cell]  6 I 2.94
I  0.0000  0.0000  0.2573 [24 per cell]  1 Mg 2.94, 1 Ca 3.12

## Properties
As for the total energy: -2.8613 eV per atom. As for the polymorph energy (0 for the lowest one): 16 meV per atom. The raw formation energy comes out at -1401 meV/atom. As for the total magnetization: 0.000 μB per atom.

=====

# 3
A plane-wave DFT calculation with PBE was carried out for Na2CaRh3F12 after structural relaxation.

a = 7.5702 Å, b = 7.5702 Å, c = 16.6096 Å
α = 90.00°, β = 90.00°, γ = 120.00°
Closest atoms and distances in Å follow each position.
Space group R-3m (No. 166, hexagonal axes)
Inequivalent atoms, fractional coordinates:
Na  0.0000  0.0000  0.1471 [6 per cell]  3 F 2.26
Ca  0.0000  0.0000  0.5000 [3 per cell]  6 F 2.51
Rh  0.0000  0.5000  0.0000 [9 per cell]  6 F 2.02-2.05
F  0.0316  0.5158  0.8790 [18 per cell]  1 Rh 2.02, 1 Na 2.26
F  0.0701  0.5350  0.3048 [18 per cell]  2 Rh 2.05

## Properties
As for the total energy: -4.8189 eV per atom. The raw formation energy comes out at -2088 meV/atom. As for the total magnetization: 0.057 μB per atom.